Entry from the Alexandria database: crystalline TaAs4 at its relaxed geometry (PBE).

```
data_TaAs4
_symmetry_space_group_name_H-M 'I 4/m m m'
_symmetry_Int_Tables_number 139
_symmetry_space_group_name_Hall '-I 4 2'
_cell_length_a 3.500
_cell_length_b 3.500
_cell_length_c 17.810
_cell_angle_alpha 90.00
_cell_angle_beta 90.00
_cell_angle_gamma 90.00
loop_
_atom_site_label
_atom_site_type_symbol
_atom_site_fract_x
_atom_site_fract_y
_atom_site_fract_z
_atom_site_occupancy
Ta1 Ta 0.000 0.000 0.000 1
As1 As 0.000 0.000 0.427 1
As2 As 0.000 0.500 0.250 1
```

Computed properties:
Formation energy from the elements: 0.236 eV per atom
Calculated density: 7.316 Mg/m³
ΔE to the lowest computed polymorph: 0.051 eV/atom